VASP calculation (PBE-GGA) on a geometry-optimized Cs2CoPdS4 structure.

The value obtained for the total energy is -4.41 eV per atom. The calculation puts the uncorrected formation energy at -0.60 eV/atom.

The space group is Fddd (No. 70, origin choice 2) and the conventional cell measures 5.610, 14.103 and 23.910 Å, with angles of 90.00, 90.00 and 90.00 degrees. The distinct sites, in fractional coordinates, are Cs at (0.125, 0.125, 0.304), Co at (0.125, 0.125, 0.625), Pd at (0.125, 0.125, 0.125) and S at (0.095, 0.288, 0.823).